# 1
GGA-PBE LuZr2Zn, relaxed; energy of formation = -0.07 eV/atom; total magnetic moment = 0.00 μB per formula unit; E above lowest polymorph = 0 meV/atom; SG = P4/mmm, No. 123; volume = 88.7 Å³/f.u.
1.0
3.2602 0.0000 0.0000
0.0000 3.2602 0.0000
0.0000 0.0000 8.3455
Lu Zr Zn
1 2 1
Direct
0.0000 0.0000 0.0000
0.5000 0.5000 0.2824
0.5000 0.5000 0.7176
0.0000 0.0000 0.5000

***

# 2
GGA-PBE ReSiSbTe2, relaxed; total magnetic moment = 3.46 μB per formula unit; E above lowest polymorph = 435 meV/atom; SG = P4/mmm, No. 123; volume = 137.4 Å³/f.u.; ΔE_f (raw) = 1.4628 eV/atom
1.0
5.1519 0.0000 0.0000
0.0000 5.1519 0.0000
0.0000 0.0000 5.1781
Re Si Sb Te
1 1 1 2
Direct
0.0000 0.0000 0.0000
0.5000 0.5000 0.5000
0.5000 0.5000 0.0000
0.0000 0.5000 0.5000
0.5000 0.0000 0.5000

***

# 3
GGA-PBE YAl4Pt, relaxed; energy of formation = -0.26 eV/atom; total magnetic moment = 0.00 μB per formula unit; SG = F-43m, No. 216; volume = 109.0 Å³/f.u.
1.0
0.0000 3.7920 3.7920
3.7920 0.0000 3.7920
3.7920 3.7920 0.0000
Y Al Pt
1 4 1
Direct
0.0000 0.0000 0.0000
0.1220 0.6260 0.6260
0.6260 0.1220 0.6260
0.6260 0.6260 0.1220
0.6260 0.6260 0.6260
0.2500 0.2500 0.2500

***

# 4
GGA-PBE KFeIr2, relaxed; energy of formation = 1.51 eV/atom; total magnetic moment = 0.00 μB per formula unit; E above lowest polymorph = 1070 meV/atom; SG = Fm-3m, No. 225; volume = 64.0 Å³/f.u.
1.0
6.3484 0.0000 0.0000
0.0000 6.3484 0.0000
0.0000 0.0000 6.3484
K Fe Ir
4 4 8
Direct
0.0000 0.0000 0.0000
0.0000 0.5000 0.5000
0.5000 0.0000 0.5000
0.5000 0.5000 0.0000
0.0000 0.0000 0.5000
0.0000 0.5000 0.0000
0.5000 0.0000 0.0000
0.5000 0.5000 0.5000
0.2500 0.2500 0.2500
0.2500 0.2500 0.7500
0.2500 0.7500 0.2500
0.2500 0.7500 0.7500
0.7500 0.2500 0.2500
0.7500 0.2500 0.7500
0.7500 0.7500 0.2500
0.7500 0.7500 0.7500

***

# 5
GGA-PBE BaCrSi, relaxed; total magnetic moment = 3.28 μB per formula unit; SG = I4mm, No. 107; volume = 73.7 Å³/f.u.; ΔE_f (raw) = 0.2618 eV/atom
1.0
3.5288 0.0000 0.0000
0.0000 3.5288 0.0000
0.0000 0.0000 11.8388
Ba Cr Si
2 2 2
Direct
0.0000 0.0000 0.0000
0.5000 0.5000 0.5000
0.0000 0.0000 0.2687
0.5000 0.5000 0.7687
0.0000 0.0000 0.7178
0.5000 0.5000 0.2178

***

# 6
GGA-PBE DyAg2Hg, relaxed; energy of formation = -0.21 eV/atom; total magnetic moment = 0.00 μB per formula unit; SG = Cmcm, No. 63; volume = 88.4 Å³/f.u.
1.0
3.3620 0.0000 0.0000
0.0000 21.8695 0.0000
0.0000 0.0000 4.8084
Dy Ag Hg
4 8 4
Direct
0.0000 0.0939 0.2500
0.0000 0.9061 0.7500
0.5000 0.4061 0.7500
0.5000 0.5939 0.2500
0.0000 0.2714 0.7500
0.0000 0.4698 0.2500
0.0000 0.5302 0.7500
0.0000 0.7286 0.2500
0.5000 0.0302 0.7500
0.5000 0.2286 0.2500
0.5000 0.7714 0.7500
0.5000 0.9698 0.2500
0.0000 0.3410 0.2500
0.0000 0.6590 0.7500
0.5000 0.1590 0.7500
0.5000 0.8410 0.2500

***

# 7
GGA-PBE ThMg5Ir2, relaxed; energy of formation = -0.42 eV/atom; total magnetic moment = 0.00 μB per formula unit; SG = Immm, No. 71; volume = 167.6 Å³/f.u.
1.0
4.0844 0.0000 0.0000
0.0000 8.4576 0.0000
0.0000 0.0000 9.7034
Th Mg Ir
2 10 4
Direct
0.0000 0.0000 0.0000
0.5000 0.5000 0.5000
0.0000 0.1810 0.3339
0.0000 0.1810 0.6661
0.0000 0.5000 0.0000
0.0000 0.8190 0.3339
0.0000 0.8190 0.6661
0.5000 0.0000 0.5000
0.5000 0.3190 0.1661
0.5000 0.3190 0.8339
0.5000 0.6810 0.1661
0.5000 0.6810 0.8339
0.0000 0.5000 0.2850
0.0000 0.5000 0.7150
0.5000 0.0000 0.2150
0.5000 0.0000 0.7850

***

# 8
GGA-PBE Tb2Pm2DyTm, relaxed; energy of formation = 0.06 eV/atom; total magnetic moment = 0.00 μB per formula unit; SG = Pmma, No. 51; volume = 192.8 Å³/f.u.
1.0
7.0001 0.0000 0.0000
0.0000 5.6389 0.0000
0.0000 0.0000 9.7694
Tb Pm Dy Tm
4 4 2 2
Direct
0.2500 0.0000 0.1626
0.2500 0.5000 0.6696
0.7500 0.0000 0.8374
0.7500 0.5000 0.3304
0.0000 0.5000 0.0000
0.2500 0.0000 0.8220
0.5000 0.5000 0.0000
0.7500 0.0000 0.1780
0.2500 0.5000 0.3423
0.7500 0.5000 0.6577
0.0000 0.0000 0.5000
0.5000 0.0000 0.5000

***

Look up the volume of the sixth one.
88.4 Å³/f.u.